[1]
# HgBiCl3 (PBE, optimized geometry)
data_HgBiCl3
_space_group_name_H-M_alt 'P 1'
_space_group_IT_number 1
_cell_length_a 4.976
_cell_length_b 4.976
_cell_length_c 13.966
_cell_angle_alpha 79.74
_cell_angle_beta 79.74
_cell_angle_gamma 90.00
loop_
_space_group_symop_operation_xyz
'x,y,z'
loop_
_atom_site_label
_atom_site_type_symbol
_atom_site_fract_x
_atom_site_fract_y
_atom_site_fract_z
_atom_site_occupancy
Bi1 Bi 0.550 0.050 0.901 1
Hg1 Hg 0.250 0.750 0.500 1
Cl1 Cl 0.117 0.865 0.766 1
Cl2 Cl 0.135 0.883 0.234 1
Cl3 Cl 0.718 0.718 0.563 1
Cl4 Cl 0.117 0.369 0.766 1
Cl5 Cl 0.631 0.883 0.234 1
Bi2 Bi 0.950 0.450 0.099 1
Cl6 Cl 0.282 0.282 0.437 1
Hg2 Hg 0.000 0.000 0.000 1
# Energy above the most stable polymorph in this dataset: 745.7 meV per atom
# Volume: 334.6 Å³ per cell
# Formation energy without anion corrections: -0.02 eV per atom

=====

[2]
# HgBiCl3 (PBE, optimized geometry)
data_HgBiCl3
_space_group_name_H-M_alt 'P 1'
_space_group_IT_number 1
_cell_length_a 9.630
_cell_length_b 7.326
_cell_length_c 7.012
_cell_angle_alpha 59.79
_cell_angle_beta 104.05
_cell_angle_gamma 86.07
loop_
_space_group_symop_operation_xyz
'x,y,z'
loop_
_atom_site_label
_atom_site_type_symbol
_atom_site_fract_x
_atom_site_fract_y
_atom_site_fract_z
_atom_site_occupancy
Bi1 Bi 0.854 0.271 0.071 1
Cl1 Cl 0.019 0.866 0.464 1
Hg1 Hg 0.340 0.812 0.034 1
Cl2 Cl 0.678 0.617 0.662 1
Cl3 Cl 0.682 0.023 0.997 1
Cl4 Cl 0.016 0.534 0.174 1
Cl5 Cl 0.023 0.271 0.799 1
Bi2 Bi 0.847 0.617 0.389 1
Hg2 Hg 0.361 0.075 0.427 1
Cl6 Cl 0.684 0.355 0.286 1
# Energy above the most stable polymorph in this dataset: 0.0 meV per atom
# Volume: 403.9 Å³ per cell
# Formation energy without anion corrections: -0.76 eV per atom

=====

[3]
# HgBiCl2 (PBE, optimized geometry)
data_HgBiCl2
_space_group_name_H-M_alt 'P 1'
_space_group_IT_number 1
_cell_length_a 5.225
_cell_length_b 5.225
_cell_length_c 5.225
_cell_angle_alpha 60.00
_cell_angle_beta 60.00
_cell_angle_gamma 60.00
loop_
_space_group_symop_operation_xyz
'x,y,z'
loop_
_atom_site_label
_atom_site_type_symbol
_atom_site_fract_x
_atom_site_fract_y
_atom_site_fract_z
_atom_site_occupancy
Cl1 Cl 0.750 0.750 0.750 1
Hg1 Hg 0.000 0.000 0.000 1
Bi1 Bi 0.500 0.500 0.500 1
Cl2 Cl 0.250 0.250 0.250 1
# Energy above the most stable polymorph in this dataset: 372.5 meV per atom
# Volume: 100.9 Å³ per cell
# Formation energy without anion corrections: -0.16 eV per atom

=====

[4]
# HgBi3Cl (PBE, optimized geometry)
data_HgBi3Cl
_space_group_name_H-M_alt 'P 1'
_space_group_IT_number 1
_cell_length_a 5.750
_cell_length_b 5.750
_cell_length_c 5.750
_cell_angle_alpha 90.00
_cell_angle_beta 90.00
_cell_angle_gamma 90.00
loop_
_space_group_symop_operation_xyz
'x,y,z'
loop_
_atom_site_label
_atom_site_type_symbol
_atom_site_fract_x
_atom_site_fract_y
_atom_site_fract_z
_atom_site_occupancy
Hg1 Hg 0.000 0.000 0.000 1
Bi1 Bi 0.500 0.000 0.000 1
Bi2 Bi 0.000 0.000 0.500 1
Bi3 Bi 0.000 0.500 0.000 1
Cl1 Cl 0.500 0.500 0.500 1
# Energy above the most stable polymorph in this dataset: 0.0 meV per atom
# Volume: 190.1 Å³ per cell
# Formation energy without anion corrections: 0.54 eV per atom

=====

no.,M_tot (μB/f.u.)
1,0.00
2,0.00
3,0.00
4,0.00